Density functional theory data (PBE-GGA) for a geometry-optimized Nd2Ni17 structure.

Structure (POSCAR):
```
Nd2Ni17
1.0
8.368 0.000 0.000
-4.184 7.247 0.000
0.000 0.000 8.077
Nd Ni
4 34
Direct
0.000 0.000 0.250
0.000 0.000 0.750
0.333 0.667 0.250
0.667 0.333 0.750
0.000 0.500 0.000
0.000 0.500 0.500
0.047 0.375 0.750
0.047 0.671 0.750
0.167 0.333 0.019
0.167 0.333 0.481
0.167 0.833 0.019
0.167 0.833 0.481
0.329 0.375 0.750
0.329 0.953 0.750
0.333 0.167 0.519
0.333 0.167 0.981
0.333 0.667 0.604
0.333 0.667 0.896
0.375 0.047 0.250
0.375 0.329 0.250
0.500 0.000 0.000
0.500 0.000 0.500
0.500 0.500 0.000
0.500 0.500 0.500
0.625 0.671 0.750
0.625 0.953 0.750
0.667 0.333 0.104
0.667 0.333 0.396
0.667 0.833 0.019
0.667 0.833 0.481
0.671 0.047 0.250
0.671 0.625 0.250
0.833 0.167 0.519
0.833 0.167 0.981
0.833 0.667 0.519
0.833 0.667 0.981
0.953 0.329 0.250
0.953 0.625 0.250
```

Formation energy from the elements: -295 kJ/mol of formula units
V: 12.89 Å³/atom


Density functional theory data (PBE-GGA) for a geometry-optimized TbBeCu3 structure.

Structure (POSCAR):
```
TbBeCu3
1.0
5.915 0.000 0.000
-2.958 5.123 0.000
0.000 0.000 4.935
Tb Be Cu
2 2 6
Direct
0.333 0.667 0.250
0.667 0.333 0.750
0.000 0.000 0.000
0.000 0.000 0.500
0.186 0.373 0.750
0.186 0.814 0.750
0.373 0.186 0.250
0.627 0.814 0.750
0.814 0.186 0.250
0.814 0.627 0.250
```

Formation energy from the elements: -51 kJ/mol of formula units
V: 14.95 Å³/atom


Density functional theory data (PBE-GGA) for a geometry-optimized GdCuPb structure.

Structure (POSCAR):
```
GdCuPb
1.0
-1.740 1.740 5.852
1.740 -1.740 5.852
1.740 1.740 -5.852
Gd Cu Pb
1 1 1
Direct
0.000 0.000 0.000
0.354 0.354 0.000
0.709 0.709 0.000
```

Formation energy from the elements: -49 kJ/mol of formula units
V: 23.62 Å³/atom